# Nd8Y6Mg | the Alexandria database | PBE | optimized geometry
# Volume in Å³ per cell: 505.2
# Size of the total moment in μB/atom: 0.000
# Energy in eV per atom: -5.107
# Density of states at the Fermi level in states/eV/f.u.: 22.4
# Formation energy from the elements in eV/atom: 0.127
data_Nd8Y6Mg
_chemical_formula_sum 'Nd8 Y6 Mg1'
_symmetry_space_group_name_H-M 'P 1'
_symmetry_Int_Tables_number 1
_cell_length_a 6.575
_cell_length_b 9.419
_cell_length_c 9.419
_cell_angle_alpha 120.00
_cell_angle_beta 90.00
_cell_angle_gamma 90.00
loop_
_symmetry_equiv_pos_as_xyz
'x,y,z'
loop_
_atom_site_label
_atom_site_fract_x
_atom_site_fract_y
_atom_site_fract_z
Mg1 0.500 0.000 0.000
Nd1 0.826 0.039 0.276
Y1 0.338 0.557 0.652
Y2 0.662 0.905 0.557
Nd2 0.174 0.276 0.237
Nd3 0.826 0.724 0.763
Y3 0.338 0.095 0.443
Y4 0.338 0.348 0.905
Nd4 0.860 0.333 0.667
Nd5 0.826 0.237 0.961
Y5 0.662 0.652 0.095
Nd6 0.174 0.961 0.724
Nd7 0.140 0.667 0.333
Nd8 0.174 0.763 0.039
Y6 0.662 0.443 0.348

=====

# KPt3 | the Alexandria database | PBE | optimized geometry
# Volume in Å³ per cell: 139.7
# Size of the total moment in μB/atom: 0.235
# Energy in eV per atom: -2.045
# Density of states at the Fermi level in states/eV/f.u.: 8.9
# Distance to the lowest polymorph of the same formula in eV per atom: 2.910
# Formation energy from the elements in eV/atom: 2.760
data_KPt3
_chemical_formula_sum 'K1 Pt3'
_symmetry_space_group_name_H-M 'P 1'
_symmetry_Int_Tables_number 1
_cell_length_a 5.189
_cell_length_b 5.189
_cell_length_c 5.189
_cell_angle_alpha 90.00
_cell_angle_beta 90.00
_cell_angle_gamma 90.00
loop_
_symmetry_equiv_pos_as_xyz
'x,y,z'
loop_
_atom_site_label
_atom_site_fract_x
_atom_site_fract_y
_atom_site_fract_z
Pt1 0.000 0.000 0.500
Pt2 0.500 0.000 0.000
Pt3 0.000 0.500 0.000
K1 0.000 0.000 0.000

=====

# AcTb12Y6 | the Alexandria database | PBE | optimized geometry
# Volume in Å³ per cell: 672.6
# Size of the total moment in μB/atom: 0.000
# Energy in eV per atom: -4.763
# Density of states at the Fermi level in states/eV/f.u.: 25.7
# Distance to the lowest polymorph of the same formula in eV per atom: 0.212
# Formation energy from the elements in eV/atom: 0.419
data_AcTb12Y6
_chemical_formula_sum 'Ac1 Tb12 Y6'
_symmetry_space_group_name_H-M 'P 1'
_symmetry_Int_Tables_number 1
_cell_length_a 8.891
_cell_length_b 8.891
_cell_length_c 8.891
_cell_angle_alpha 99.17
_cell_angle_beta 99.17
_cell_angle_gamma 99.17
loop_
_symmetry_equiv_pos_as_xyz
'x,y,z'
loop_
_atom_site_label
_atom_site_fract_x
_atom_site_fract_y
_atom_site_fract_z
Tb1 0.819 0.533 0.533
Tb2 0.467 0.467 0.181
Ac1 0.000 0.000 0.000
Tb3 0.467 0.181 0.467
Tb4 0.500 0.118 0.882
Y1 0.792 0.262 0.792
Tb5 0.882 0.118 0.500
Tb6 0.533 0.533 0.819
Y2 0.208 0.738 0.208
Y3 0.738 0.208 0.208
Y4 0.208 0.208 0.738
Y5 0.262 0.792 0.792
Y6 0.792 0.792 0.262
Tb7 0.533 0.819 0.533
Tb8 0.882 0.500 0.118
Tb9 0.500 0.882 0.118
Tb10 0.118 0.882 0.500
Tb11 0.118 0.500 0.882
Tb12 0.181 0.467 0.467